VASP calculation (PBE) on a relaxed La2TlRuPb crystal.

a = 6.0649 Å, b = 6.0649 Å, c = 5.4404 Å
α = 90.00°, β = 90.00°, γ = 90.00°
Sites, in units of the cell vectors:
La 0.0000 0.5000 0.0000
La 0.5000 0.0000 0.0000
Tl 0.0000 0.0000 0.5000
Ru 0.5000 0.5000 0.5000
Pb 0.0000 0.0000 0.0000

Distance to the lowest polymorph of the same formula in eV/atom: 1.460
Calculated volume in Å³/atom: 40.02
Space group: No. 123
Calculated formation energy in eV per formula unit: 5.63
Total moment in μB per formula unit: 0.08

---

VASP calculation (PBE) on a relaxed Ca2PtI crystal.

a = 3.7018 Å, b = 3.7018 Å, c = 7.9499 Å
α = 90.00°, β = 90.00°, γ = 90.00°
Sites, in units of the cell vectors:
Ca 0.0000 0.0000 0.2020
Ca 0.0000 0.0000 0.7980
Pt 0.5000 0.5000 0.0000
I 0.5000 0.5000 0.5000

Distance to the lowest polymorph of the same formula in eV/atom: 0.078
Calculated volume in Å³/atom: 27.23
Formation energy from raw total energies in eV per atom: -0.9841
Space group: No. 123
Total moment in μB per formula unit: 0.00

---

VASP calculation (PBE) on a relaxed YCr2W crystal.

a = 2.9262 Å, b = 4.1105 Å, c = 6.0324 Å
α = 90.00°, β = 101.94°, γ = 90.00°
Sites, in units of the cell vectors:
Y 0.0000 0.0000 0.0000
Cr 0.2128 0.5000 0.6652
Cr 0.7872 0.5000 0.3348
W 0.5000 0.0000 0.5000

Distance to the lowest polymorph of the same formula in eV/atom: 0.100
Calculated volume in Å³/atom: 17.75
Space group: No. 10
Calculated formation energy in eV per formula unit: 1.90
Total moment in μB per formula unit: 0.00

---

VASP calculation (PBE) on a relaxed AcSn2Ru crystal.

a = 6.1838 Å, b = 6.1838 Å, c = 7.9929 Å
α = 90.00°, β = 90.00°, γ = 138.55°
Sites, in units of the cell vectors:
Ac 0.0637 0.9363 0.7500
Ac 0.9363 0.0637 0.2500
Sn 0.3445 0.6555 0.5522
Sn 0.3445 0.6555 0.9478
Sn 0.6555 0.3445 0.0522
Sn 0.6555 0.3445 0.4478
Ru 0.2192 0.7808 0.2500
Ru 0.7808 0.2192 0.7500

Distance to the lowest polymorph of the same formula in eV/atom: 0.000
Calculated volume in Å³/atom: 25.29
Space group: No. 63
Calculated formation energy in eV per formula unit: -1.92
Total moment in μB per formula unit: 0.00

---

VASP calculation (PBE) on a relaxed Cs2GeBiI6 crystal.

a = 8.7097 Å, b = 8.7097 Å, c = 8.7097 Å
α = 120.10°, β = 120.10°, γ = 89.83°
Sites, in units of the cell vectors:
Cs 0.2500 0.7500 0.5000
Cs 0.7500 0.2500 0.5000
Ge 0.0000 0.0000 0.0000
Bi 0.5000 0.5000 0.0000
I 0.2441 0.2441 0.0000
I 0.2439 0.2439 0.4877
I 0.2439 0.7561 0.0000
I 0.7561 0.2439 0.0000
I 0.7559 0.7559 0.0000
I 0.7561 0.7561 0.5123

Calculated volume in Å³/atom: 46.65
Formation energy from raw total energies in eV per atom: -0.7999
Space group: No. 139
Total moment in μB per formula unit: 0.00

---

VASP calculation (PBE) on a relaxed ZrZnSi3 crystal.

a = 4.6011 Å, b = 4.6011 Å, c = 4.6011 Å
α = 90.00°, β = 90.00°, γ = 90.00°
Sites, in units of the cell vectors:
Zr 0.0000 0.0000 0.0000
Zn 0.5000 0.5000 0.5000
Si 0.0000 0.5000 0.5000
Si 0.5000 0.0000 0.5000
Si 0.5000 0.5000 0.0000

Calculated volume in Å³/atom: 19.48
Formation energy from raw total energies in eV per atom: 0.7783
Space group: No. 221
Total moment in μB per formula unit: 0.00

---

VASP calculation (PBE) on a relaxed PrNd2Fe crystal.

a = 3.5696 Å, b = 3.5696 Å, c = 9.0874 Å
α = 90.00°, β = 90.00°, γ = 90.00°
Sites, in units of the cell vectors:
Pr 0.0000 0.0000 0.0000
Nd 0.5000 0.5000 0.3141
Nd 0.5000 0.5000 0.6859
Fe 0.0000 0.0000 0.5000

Distance to the lowest polymorph of the same formula in eV/atom: 0.000
Calculated volume in Å³/atom: 28.95
Space group: No. 123
Calculated formation energy in eV per formula unit: 0.68
Total moment in μB per formula unit: 1.97

---

VASP calculation (PBE) on a relaxed Sm5YHo12 crystal.

a = 10.6620 Å, b = 10.6620 Å, c = 6.1561 Å
α = 106.61°, β = 106.61°, γ = 59.99°
Sites, in units of the cell vectors:
Sm 0.0000 0.0000 0.0000
Sm 0.1667 0.1667 0.4997
Sm 0.3335 0.3335 0.9993
Sm 0.6665 0.6665 0.0007
Sm 0.8333 0.8333 0.5003
Y 0.5000 0.5000 0.5000
Ho 0.0011 0.6657 0.0002
Ho 0.1662 0.5009 0.5004
Ho 0.1676 0.8324 0.5000
Ho 0.3326 0.6674 0.0000
Ho 0.3343 0.9989 0.9998
Ho 0.4991 0.8338 0.4996
Ho 0.5009 0.1662 0.5004
Ho 0.6657 0.0011 0.0002
Ho 0.6674 0.3326 0.0000
Ho 0.8324 0.1676 0.5000
Ho 0.8338 0.4991 0.4996
Ho 0.9989 0.3343 0.9998

Calculated volume in Å³/atom: 31.78
Space group: No. 12
Calculated formation energy in eV per formula unit: 0.34
Total moment in μB per formula unit: 0.00

---

VASP calculation (PBE) on a relaxed Be2HgP crystal.

a = 3.2842 Å, b = 3.5378 Å, c = 5.1478 Å
α = 90.00°, β = 90.00°, γ = 90.00°
Sites, in units of the cell vectors:
Be 0.0000 0.0000 0.0000
Be 0.0000 0.5000 0.5000
Hg 0.5000 0.0000 0.5000
P 0.5000 0.5000 0.0000

Distance to the lowest polymorph of the same formula in eV/atom: 0.467
Calculated volume in Å³/atom: 14.95
Space group: No. 47
Calculated formation energy in eV per formula unit: 2.36
Total moment in μB per formula unit: 0.00

---

VASP calculation (PBE) on a relaxed Li2TmAu3 crystal.

a = 8.2360 Å, b = 8.2360 Å, c = 8.2360 Å
α = 43.43°, β = 43.43°, γ = 43.43°
Sites, in units of the cell vectors:
Li 0.1490 0.1490 0.1490
Li 0.3510 0.3510 0.3510
Li 0.6490 0.6490 0.6490
Li 0.8510 0.8510 0.8510
Tm 0.0000 0.0000 0.0000
Tm 0.5000 0.5000 0.5000
Au 0.0243 0.7500 0.4757
Au 0.2500 0.5243 0.9757
Au 0.4757 0.0243 0.7500
Au 0.5243 0.9757 0.2500
Au 0.7500 0.4757 0.0243
Au 0.9757 0.2500 0.5243

Distance to the lowest polymorph of the same formula in eV/atom: 0.160
Calculated volume in Å³/atom: 19.96
Space group: No. 167
Calculated formation energy in eV per formula unit: -3.06
Total moment in μB per formula unit: 0.00

---

VASP calculation (PBE) on a relaxed KTcCl2 crystal.

a = 5.1938 Å, b = 5.1938 Å, c = 5.1938 Å
α = 60.00°, β = 60.00°, γ = 60.00°
Sites, in units of the cell vectors:
K 0.0000 0.0000 0.0000
Tc 0.7500 0.7500 0.7500
Cl 0.2500 0.2500 0.2500
Cl 0.5000 0.5000 0.5000

Distance to the lowest polymorph of the same formula in eV/atom: 0.809
Calculated volume in Å³/atom: 24.77
Formation energy from raw total energies in eV per atom: 0.3886
Space group: No. 216
Total moment in μB per formula unit: 4.16

---

VASP calculation (PBE) on a relaxed Y2CuMo crystal.

a = 4.9501 Å, b = 4.9501 Å, c = 5.8900 Å
α = 101.95°, β = 101.95°, γ = 38.39°
Sites, in units of the cell vectors:
Y 0.2434 0.2434 0.2491
Y 0.7566 0.7566 0.7509
Cu 0.5000 0.5000 0.0000
Mo 0.0000 0.0000 0.5000

Distance to the lowest polymorph of the same formula in eV/atom: 0.325
Calculated volume in Å³/atom: 21.86
Space group: No. 12
Calculated formation energy in eV per formula unit: 1.88
Total moment in μB per formula unit: 0.00